(one)
! NdY4Er2 | Alexandria | PBE | optimized geometry; values from VASP
! - spin magnetization (Bohr magnetons per cell) = 0.00
&SYSTEM
  ibrav = 0, nat = 7, ntyp = 3
/
ATOMIC_SPECIES
Y 88.91 Y.upf
Er 167.26 Er.upf
Nd 144.24 Nd.upf
CELL_PARAMETERS angstrom
3.5259 -0.2530 0.3208
-2.6497 8.3632 -3.5256
0.9358 -1.1904 8.3928
ATOMIC_POSITIONS crystal
Y 0.1906 0.8307 0.2803
Y 0.5892 0.2939 0.4101
Y 0.4108 0.7061 0.5899
Y 0.8094 0.1693 0.7197
Er 0.3607 0.4306 0.1409
Er 0.6393 0.5694 0.8591
Nd 0.0000 0.0000 0.0000

(two)
! NdY4Er2 | Alexandria | PBE | optimized geometry; values from VASP
! - spin magnetization (Bohr magnetons per cell) = 0.00
&SYSTEM
  ibrav = 0, nat = 14, ntyp = 3
/
ATOMIC_SPECIES
Y 88.91 Y.upf
Nd 144.24 Nd.upf
Er 167.26 Er.upf
CELL_PARAMETERS angstrom
-5.6372 2.4198 -7.3464
1.2613 -7.9911 -2.8509
-4.2480 3.6556 6.4975
ATOMIC_POSITIONS crystal
Y 0.3142 0.0701 0.2844
Y 0.4564 0.1873 0.7955
Y 0.9576 0.7374 0.8489
Y 0.7917 0.0867 0.2285
Y 0.9376 0.7210 0.2557
Y 0.8035 0.0972 0.8109
Y 0.2941 0.6402 0.2792
Y 0.4449 0.7548 0.7914
Nd 0.0876 0.4087 0.3664
Nd 0.1607 0.0287 0.8211
Er 0.6261 0.4718 0.3464
Er 0.1244 0.3475 0.7227
Er 0.6661 0.4089 0.7061
Er 0.5853 0.7896 0.2429

Of them, the most stable is (one) and the least stable is (two).

(one)
! Nd3Y2Er3 | Alexandria | PBE | optimized geometry; values from VASP
! - spin magnetization (Bohr magnetons per cell) = 0.00
&SYSTEM
  ibrav = 0, nat = 8, ntyp = 3
/
ATOMIC_SPECIES
Y 88.91 Y.upf
Er 167.26 Er.upf
Nd 144.24 Nd.upf
CELL_PARAMETERS angstrom
5.0567 0.0000 0.0000
0.0000 5.0862 0.0000
-2.5284 -2.5431 10.1726
ATOMIC_POSITIONS crystal
Y 0.7508 0.2508 0.5015
Y 0.2492 0.7492 0.4985
Er 0.6255 0.6255 0.2511
Er 0.5000 0.0000 0.0000
Er 0.3745 0.3745 0.7489
Nd 0.1239 0.1239 0.2479
Nd 0.0000 0.5000 0.0000
Nd 0.8761 0.8761 0.7521

(two)
! Nd3Y2Er3 | Alexandria | PBE | optimized geometry; values from VASP
! - spin magnetization (Bohr magnetons per cell) = 0.00
&SYSTEM
  ibrav = 0, nat = 8, ntyp = 3
/
ATOMIC_SPECIES
Y 88.91 Y.upf
Er 167.26 Er.upf
Nd 144.24 Nd.upf
CELL_PARAMETERS angstrom
-0.3297 5.6070 -1.9926
-5.2624 -1.2055 -2.5216
-0.6527 -0.1860 8.4971
ATOMIC_POSITIONS crystal
Y 0.2485 0.2487 0.4970
Y 0.7515 0.7513 0.5030
Er 0.1240 0.6241 0.2481
Er 0.0000 0.0000 0.0000
Er 0.8760 0.3759 0.7519
Nd 0.3737 0.8739 0.7474
Nd 0.5000 0.5000 0.0000
Nd 0.6263 0.1261 0.2526

Of them, the most stable is (one) and the least stable is (two).

(one)
! NdY2Er7 | Alexandria | PBE | optimized geometry; values from VASP
! - spin magnetization (Bohr magnetons per cell) = 0.00
&SYSTEM
  ibrav = 0, nat = 10, ntyp = 3
/
ATOMIC_SPECIES
Er 167.26 Er.upf
Nd 144.24 Nd.upf
Y 88.91 Y.upf
CELL_PARAMETERS angstrom
-3.7154 3.5735 -3.3023
-2.7882 -8.6056 -2.4261
1.1799 3.7962 8.4824
ATOMIC_POSITIONS crystal
Er 0.1999 0.7995 0.2008
Er 0.8986 0.0979 0.3998
Er 0.1014 0.9021 0.6002
Er 0.8001 0.2005 0.7992
Er 0.7006 0.3006 0.1996
Er 0.5000 0.5000 0.0000
Er 0.2994 0.6994 0.8004
Nd 0.0000 0.0000 0.0000
Y 0.6013 0.3991 0.6018
Y 0.3987 0.6009 0.3982

(two)
! NdY2Er7 | Alexandria | PBE | optimized geometry; values from VASP
! - spin magnetization (Bohr magnetons per cell) = 0.00
&SYSTEM
  ibrav = 0, nat = 10, ntyp = 3
/
ATOMIC_SPECIES
Er 167.26 Er.upf
Y 88.91 Y.upf
Nd 144.24 Nd.upf
CELL_PARAMETERS angstrom
-3.9818 -2.9160 -1.7969
5.3511 -2.7031 -7.4713
-0.6032 -4.4049 8.4850
ATOMIC_POSITIONS crystal
Er 0.5000 0.7122 0.9313
Er 0.5000 0.0687 0.2878
Er 0.5000 0.5000 0.5000
Er 0.0000 0.8022 0.1978
Er 0.0000 0.1978 0.8022
Er 0.5000 0.9313 0.7122
Er 0.5000 0.2878 0.0687
Y 0.5000 0.7024 0.2976
Y 0.5000 0.2976 0.7024
Nd 0.0000 0.0000 0.0000

Of them, the most stable is (one) and the least stable is (two).

(one)
! Nd2YEr3 | Alexandria | PBE | optimized geometry; values from VASP
! - spin magnetization (Bohr magnetons per cell) = 0.00
&SYSTEM
  ibrav = 0, nat = 12, ntyp = 3
/
ATOMIC_SPECIES
Er 167.26 Er.upf
Y 88.91 Y.upf
Nd 144.24 Nd.upf
CELL_PARAMETERS angstrom
-2.4332 0.2925 5.0110
-3.2534 -7.2206 -4.2630
9.0092 0.1515 4.3657
ATOMIC_POSITIONS crystal
Er 0.0486 0.0972 0.3939
Er 0.9514 0.9028 0.6061
Er 0.3874 0.7747 0.3461
Er 0.2908 0.5816 0.5741
Er 0.7092 0.4184 0.4259
Er 0.6126 0.2253 0.6539
Y 0.1336 0.2672 0.1370
Y 0.8664 0.7328 0.8630
Nd 0.2292 0.4584 0.8714
Nd 0.5082 0.0164 0.8570
Nd 0.7708 0.5416 0.1286
Nd 0.4918 0.9836 0.1430

(two)
! Nd2YEr3 | Alexandria | PBE | optimized geometry; values from VASP
! - spin magnetization (Bohr magnetons per cell) = 0.00
&SYSTEM
  ibrav = 0, nat = 12, ntyp = 3
/
ATOMIC_SPECIES
Er 167.26 Er.upf
Y 88.91 Y.upf
Nd 144.24 Nd.upf
CELL_PARAMETERS angstrom
3.4392 0.0000 -0.6535
-0.3300 10.0847 -1.7369
0.4326 -1.7153 11.6540
ATOMIC_POSITIONS crystal
Er 0.6943 0.7148 0.3887
Er 0.3057 0.2852 0.6113
Er 0.9300 0.2376 0.8600
Er 0.0700 0.7624 0.1400
Er 0.5584 0.4455 0.1169
Er 0.4416 0.5545 0.8831
Y 0.6885 0.0363 0.3771
Y 0.3115 0.9637 0.6229
Nd 0.0680 0.1355 0.1359
Nd 0.6906 0.3713 0.3812
Nd 0.3094 0.6287 0.6188
Nd 0.9320 0.8645 0.8641

Of them, the most stable is (one) and the least stable is (two).